Entry 1:
Computed, not measured: a relaxed structure of CdFeBOs at the PBE level of DFT.

Lattice parameters (Å, degrees): 5.9413 5.9413 5.9413 90.00 90.00 90.00
Closest atoms and distances in Å follow each position.
Space group F-43m (No. 216)
Asymmetric unit:
Cd: 0.0000 0.0000 0.0000 (multiplicity 4)  4 Fe 2.57, 4 Os 2.57
Fe: 0.2500 0.2500 0.7500 (multiplicity 4)  4 Cd 2.57, 4 B 2.57
B: 0.0000 0.0000 0.5000 (multiplicity 4)  4 Fe 2.57, 4 Os 2.57
Os: 0.2500 0.2500 0.2500 (multiplicity 4)  4 Cd 2.57, 4 B 2.57

Properties
Energy above the lowest structure with this stoichiometry   0.0 meV/atom

=====

Entry 2:
Computed, not measured: a relaxed structure of CdFeBPt at the PBE level of DFT.

Lattice parameters (Å, degrees): 5.9631 5.9631 5.9631 90.00 90.00 90.00
Closest atoms and distances in Å follow each position.
Space group F-43m (No. 216)
Asymmetric unit:
Cd: 0.0000 0.0000 0.0000 (multiplicity 4)  4 Fe 2.58, 4 Pt 2.58
Fe: 0.2500 0.2500 0.7500 (multiplicity 4)  4 Cd 2.58, 4 B 2.58
B: 0.0000 0.0000 0.5000 (multiplicity 4)  4 Fe 2.58, 4 Pt 2.58
Pt: 0.2500 0.2500 0.2500 (multiplicity 4)  4 Cd 2.58, 4 B 2.58

Properties
Energy above the lowest structure with this stoichiometry   0.0 meV/atom

=====

Entry 3:
Computed, not measured: a relaxed structure of ScCdFeB at the PBE level of DFT.

Lattice parameters (Å, degrees): 6.1679 6.1679 6.1679 90.00 90.00 90.00
Closest atoms and distances in Å follow each position.
Space group F-43m (No. 216)
Asymmetric unit:
Sc: 0.0000 0.0000 0.0000 (multiplicity 4)  4 Cd 2.67, 4 B 2.67
Cd: 0.2500 0.2500 0.7500 (multiplicity 4)  4 Fe 2.67, 4 Sc 2.67
Fe: 0.0000 0.0000 0.5000 (multiplicity 4)  4 Cd 2.67, 4 B 2.67
B: 0.2500 0.2500 0.2500 (multiplicity 4)  4 Fe 2.67, 4 Sc 2.67

Properties
Energy above the lowest structure with this stoichiometry   0.0 meV/atom

=====

Entry 4:
Computed, not measured: a relaxed structure of ScCdFeB at the PBE level of DFT.

Lattice parameters (Å, degrees): 6.1243 6.1243 6.1243 90.00 90.00 90.00
Closest atoms and distances in Å follow each position.
Space group F-43m (No. 216)
Asymmetric unit:
Sc: 0.0000 0.0000 0.0000 (multiplicity 4)  4 Cd 2.65, 4 Fe 2.65
Cd: 0.2500 0.2500 0.2500 (multiplicity 4)  4 B 2.65, 4 Sc 2.65
Fe: 0.2500 0.2500 0.7500 (multiplicity 4)  4 Sc 2.65, 4 B 2.65
B: 0.0000 0.0000 0.5000 (multiplicity 4)  4 Fe 2.65, 4 Cd 2.65

Properties
Energy above the lowest structure with this stoichiometry   213.6 meV/atom

=====

Entry 5:
Computed, not measured: a relaxed structure of TaCdFeB at the PBE level of DFT.

Lattice parameters (Å, degrees): 6.0408 6.0408 6.0408 90.00 90.00 90.00
Closest atoms and distances in Å follow each position.
Space group F-43m (No. 216)
Asymmetric unit:
Ta: 0.0000 0.0000 0.0000 (multiplicity 4)  4 Cd 2.62, 4 Fe 2.62
Cd: 0.2500 0.2500 0.2500 (multiplicity 4)  4 Ta 2.62, 4 B 2.62
Fe: 0.2500 0.2500 0.7500 (multiplicity 4)  4 Ta 2.62, 4 B 2.62
B: 0.0000 0.0000 0.5000 (multiplicity 4)  4 Fe 2.62, 4 Cd 2.62

Properties
Energy above the lowest structure with this stoichiometry   70.9 meV/atom

=====

Entry 6:
Computed, not measured: a relaxed structure of TaCdFeB at the PBE level of DFT.

Lattice parameters (Å, degrees): 6.0810 6.0810 6.0810 90.00 90.00 90.00
Closest atoms and distances in Å follow each position.
Space group F-43m (No. 216)
Asymmetric unit:
Ta: 0.0000 0.0000 0.0000 (multiplicity 4)  4 Cd 2.63, 4 B 2.63
Cd: 0.2500 0.2500 0.7500 (multiplicity 4)  4 Ta 2.63, 4 Fe 2.63
Fe: 0.0000 0.0000 0.5000 (multiplicity 4)  4 B 2.63, 4 Cd 2.63
B: 0.2500 0.2500 0.2500 (multiplicity 4)  4 Ta 2.63, 4 Fe 2.63

Properties
Energy above the lowest structure with this stoichiometry   0.0 meV/atom